DFT (PBE) results for a geometry-optimized La3PdC2N6 structure.

- raw total energy (eV/atom) = -7.9427
- SG = P-3m1 (164)

Unit cell a=5.426 b=5.426 c=6.625 alpha=90.00 beta=90.00 gamma=120.00
Fractional positions:
La (0.333, 0.667, 0.667)
La (0.667, 0.333, 0.333)
La (0.000, 0.000, 0.000)
Pd (0.000, 0.000, 0.500)
C (0.667, 0.333, 0.742)
C (0.333, 0.667, 0.258)
N (0.625, 0.813, 0.261)
N (0.187, 0.375, 0.261)
N (0.187, 0.813, 0.261)
N (0.813, 0.625, 0.739)
N (0.375, 0.187, 0.739)
N (0.813, 0.187, 0.739)